! OsAuCl3 | Alexandria via LeMat-Bulk | PBE | optimized geometry; values from VASP
! ρ: 7.45 g/cm³
! raw formation energy: 0.540 eV/atom
! relative energy among the computed polymorphs: 0.000 eV per atom
! Fermi-level density of states: 1.036 states/eV/atom
! space-group type: Pm-3m
&SYSTEM
  ibrav = 0, nat = 5, ntyp = 3
/
ATOMIC_SPECIES
Os 190.23 Os.upf
Au 196.97 Au.upf
Cl 35.45 Cl.upf
CELL_PARAMETERS angstrom
4.7919 0.0000 0.0000
0.0000 4.7919 0.0000
0.0000 0.0000 4.7919
ATOMIC_POSITIONS crystal
Os 0.0000 0.0000 0.0000
Au 0.5000 0.5000 0.5000
Cl 0.0000 0.0000 0.5000
Cl 0.0000 0.5000 0.0000
Cl 0.5000 0.0000 0.0000